Computed, not measured: an optimized crystal structure of Sr2TePt at the GGA-PBE level of DFT.

Geometry as POSCAR:
```
Sr2TePt
1.0
3.879 0.000 0.000
0.000 3.903 0.000
-0.008 0.000 7.753
Sr Te Pt
2 1 1
direct
0.000 0.000 0.236 Sr
0.000 0.000 0.764 Sr
0.500 0.500 0.500 Te
0.500 0.500 0.000 Pt
```

Polymorph energy (0 for the lowest one) (meV per atom): 93
Total energy (eV per atom): -4.19
SG: P2/m (10)